1.
A geometry-optimized ZrTa2Br structure. Source: Alexandria via LeMat-Bulk, functional PBEsol.

The structure belongs to space group Cmmm (No. 65); the cell edges are 3.3782, 5.0028 and 9.0792 Å and the angles 90.00°, 90.00° and 90.00°. The inequivalent atoms are Zr at (0.0000, 0.0000, 0.0000), Ta at (0.0000, 0.5000, 0.2561) and Br at (0.0000, 0.0000, 0.5000).

The calculation puts the calculated total energy at -8.69 eV/atom. The value obtained for the raw formation energy is 0.326 eV/atom. As for the relative energy among the computed polymorphs: 0.0 meV per atom. The density of states at the Fermi level comes out at 0.991 states/eV/atom.


2.
A geometry-optimized Zr2TaBr structure. Source: Alexandria via LeMat-Bulk, functional PBEsol.

The structure belongs to space group P4mm (No. 99); the cell edges are 3.4499, 3.4499 and 7.4571 Å and the angles 90.00°, 90.00° and 90.00°. The inequivalent atoms are Zr at (0.0000, 0.0000, 0.0000), Zr at (0.5000, 0.5000, 0.2325), Ta at (0.5000, 0.5000, 0.8160) and Br at (0.0000, 0.0000, 0.4418).

The calculation puts the calculated total energy at -8.00 eV/atom. The value obtained for the raw formation energy is 0.147 eV/atom. The density of states at the Fermi level comes out at 0.812 states/eV/atom.


3.
A geometry-optimized ZrTa2Br structure. Source: Alexandria via LeMat-Bulk, functional PBEsol.

The structure belongs to space group Pmmm (No. 47); the cell edges are 3.2969, 4.4347 and 5.1418 Å and the angles 90.00°, 90.00° and 90.00°. The inequivalent atoms are Zr at (0.0000, 0.0000, 0.0000), Ta at (0.0000, 0.5000, 0.5000), Ta at (0.5000, 0.0000, 0.5000) and Br at (0.5000, 0.5000, 0.0000).

The calculation puts the calculated total energy at -8.69 eV/atom. The value obtained for the raw formation energy is 0.330 eV/atom. As for the relative energy among the computed polymorphs: 3.9 meV per atom. The density of states at the Fermi level comes out at 0.939 states/eV/atom.


4.
A geometry-optimized Tb5Br8 structure. Source: Alexandria via LeMat-Bulk, functional PBEsol.

The structure belongs to space group C2/m (No. 12); the cell edges are 19.7174, 3.7775 and 13.6223 Å and the angles 90.00°, 131.12° and 90.00°. The inequivalent atoms are Tb at (0.0000, 0.0000, 0.0000), Tb at (0.0150, 0.5000, 0.3833), Tb at (0.1562, 0.0000, 0.6698), Br at (0.0353, 0.0000, 0.2362), Br at (0.1390, 0.5000, 0.1041), Br at (0.1714, 0.5000, 0.8419) and Br at (0.2069, 0.5000, 0.5701).

The calculation puts the calculated total energy at -4.57 eV/atom. The value obtained for the raw formation energy is -1.496 eV/atom. The density of states at the Fermi level comes out at 0.610 states/eV/atom.


5.
A geometry-optimized TcBr3 structure. Source: Alexandria via LeMat-Bulk, functional PBEsol.

The structure belongs to space group P6_3/mcm (No. 193); the cell edges are 6.5414, 6.5414 and 5.9719 Å and the angles 90.00°, 90.00° and 120.00°. The inequivalent atoms are Tc at (0.0000, 0.0000, 0.0000) and Br at (0.0000, 0.3062, 0.2500).

The calculation puts the calculated total energy at -4.55 eV/atom. The value obtained for the raw formation energy is -0.327 eV/atom. As for the relative energy among the computed polymorphs: 18.2 meV per atom. The density of states at the Fermi level comes out at 0.949 states/eV/atom.


6.
A geometry-optimized TcBr3 structure. Source: Alexandria via LeMat-Bulk, functional PBEsol.

The structure belongs to space group Cmmm (No. 65); the cell edges are 7.3204, 7.3279 and 3.3458 Å and the angles 90.00°, 90.00° and 90.00°. The inequivalent atoms are Tc at (0.0000, 0.0000, 0.0000), Br at (0.0000, 0.5000, 0.0000) and Br at (0.2500, 0.2500, 0.5000).

The calculation puts the calculated total energy at -3.26 eV/atom. The value obtained for the raw formation energy is 0.956 eV/atom. As for the relative energy among the computed polymorphs: 1301.2 meV per atom. The density of states at the Fermi level comes out at 1.006 states/eV/atom.


7.
A geometry-optimized Tc5Br structure. Source: Alexandria via LeMat-Bulk, functional PBEsol.

The structure belongs to space group Amm2 (No. 38); the cell edges are 4.3491, 2.8304 and 14.1668 Å and the angles 90.00°, 90.00° and 90.00°. The inequivalent atoms are Tc at (0.0000, 0.0000, 0.0000), Tc at (0.0000, 0.0000, 0.3240), Tc at (0.0000, 0.0000, 0.6638), Tc at (0.5000, 0.0000, 0.2125), Tc at (0.5000, 0.0000, 0.5598) and Br at (0.5000, 0.0000, 0.8856).

The calculation puts the calculated total energy at -9.28 eV/atom. The value obtained for the raw formation energy is 0.417 eV/atom. The density of states at the Fermi level comes out at 0.868 states/eV/atom.


8.
A geometry-optimized TcBr3 structure. Source: Alexandria via LeMat-Bulk, functional PBEsol.

The structure belongs to space group Pm-3m (No. 221); the cell edges are 5.0634, 5.0634 and 5.0634 Å and the angles 90.00°, 90.00° and 90.00°. The inequivalent atoms are Tc at (0.0000, 0.0000, 0.0000) and Br at (0.0000, 0.0000, 0.5000).

The calculation puts the calculated total energy at -4.20 eV/atom. The value obtained for the raw formation energy is 0.017 eV/atom. As for the relative energy among the computed polymorphs: 362.4 meV per atom. The density of states at the Fermi level comes out at 0.241 states/eV/atom.


9.
A geometry-optimized TcBr4 structure. Source: Alexandria via LeMat-Bulk, functional PBEsol.

The structure belongs to space group Pbca (No. 61); the cell edges are 6.3025, 12.3740 and 14.8874 Å and the angles 90.00°, 90.00° and 90.00°. The inequivalent atoms are Tc at (0.0969, 0.1309, 0.1801), Br at (0.0509, 0.7492, 0.9293), Br at (0.0747, 0.7449, 0.1927), Br at (0.2321, 0.5168, 0.3078) and Br at (0.2455, 0.0102, 0.0712).

The calculation puts the calculated total energy at -4.08 eV/atom. The value obtained for the raw formation energy is -0.329 eV/atom.


10.
A geometry-optimized Tc2Br structure. Source: Alexandria via LeMat-Bulk, functional PBEsol.

The structure belongs to space group Cmcm (No. 63); the cell edges are 4.3762, 16.6837 and 2.9234 Å and the angles 90.00°, 90.00° and 90.00°. The inequivalent atoms are Tc at (0.0000, 0.1407, 0.2500), Tc at (0.0000, 0.2672, 0.7500) and Br at (0.0000, 0.4040, 0.2500).

The calculation puts the calculated total energy at -7.63 eV/atom. The value obtained for the raw formation energy is 0.500 eV/atom. As for the relative energy among the computed polymorphs: 67.7 meV per atom. The density of states at the Fermi level comes out at 0.767 states/eV/atom.


11.
A geometry-optimized Tc2Br structure. Source: Alexandria via LeMat-Bulk, functional PBEsol.

The structure belongs to space group P-3m1 (No. 164); the cell edges are 2.9047, 2.9047 and 6.2936 Å and the angles 90.00°, 90.00° and 120.00°. The inequivalent atoms are Tc at (0.3333, 0.6667, 0.3449) and Br at (0.0000, 0.0000, 0.0000).

The calculation puts the calculated total energy at -7.70 eV/atom. The value obtained for the raw formation energy is 0.432 eV/atom. As for the relative energy among the computed polymorphs: 0.0 meV per atom. The density of states at the Fermi level comes out at 0.703 states/eV/atom.


12.
A geometry-optimized TcBr3 structure. Source: Alexandria via LeMat-Bulk, functional PBEsol.

The structure belongs to space group Pmmn (No. 59, origin choice 2); the cell edges are 5.8912, 11.3501 and 6.5826 Å and the angles 90.00°, 90.00° and 90.00°. The inequivalent atoms are Tc at (0.0287, 0.2500, 0.2417), Br at (0.2500, 0.0867, 0.4014), Br at (0.2500, 0.2500, 0.9184), Br at (0.2500, 0.6037, 0.9036) and Br at (0.2500, 0.7500, 0.4669).

The calculation puts the calculated total energy at -4.56 eV/atom. The value obtained for the raw formation energy is -0.345 eV/atom. As for the relative energy among the computed polymorphs: 0.0 meV per atom. The density of states at the Fermi level comes out at 0.478 states/eV/atom.


13.
A geometry-optimized TcTeBr2 structure. Source: Alexandria via LeMat-Bulk, functional PBEsol.

The structure belongs to space group P4mm (No. 99); the cell edges are 3.1310, 3.1310 and 9.2678 Å and the angles 90.00°, 90.00° and 90.00°. The inequivalent atoms are Tc at (0.0000, 0.0000, 0.0000), Te at (0.5000, 0.5000, 0.1752), Br at (0.0000, 0.0000, 0.4964) and Br at (0.5000, 0.5000, 0.8205).

The calculation puts the calculated total energy at -4.51 eV/atom. The value obtained for the raw formation energy is 0.127 eV/atom. As for the relative energy among the computed polymorphs: 0.0 meV per atom. The density of states at the Fermi level comes out at 0.813 states/eV/atom.


14.
A geometry-optimized TcTe4Br structure. Source: Alexandria via LeMat-Bulk, functional PBEsol.

The structure belongs to space group F-43m (No. 216); the cell edges are 8.7255, 8.7255 and 8.7255 Å and the angles 90.00°, 90.00° and 90.00°. The inequivalent atoms are Tc at (0.0000, 0.0000, 0.0000), Te at (0.1254, 0.1254, 0.3746) and Br at (0.2500, 0.2500, 0.7500).

The calculation puts the calculated total energy at -3.66 eV/atom. The value obtained for the raw formation energy is 0.876 eV/atom. The density of states at the Fermi level comes out at 0.501 states/eV/atom.


15.
A geometry-optimized TcTe3Br structure. Source: Alexandria via LeMat-Bulk, functional PBEsol.

The structure belongs to space group Pm-3m (No. 221); the cell edges are 5.4174, 5.4174 and 5.4174 Å and the angles 90.00°, 90.00° and 90.00°. The inequivalent atoms are Tc at (0.0000, 0.0000, 0.0000), Te at (0.0000, 0.5000, 0.5000) and Br at (0.5000, 0.5000, 0.5000).

The calculation puts the calculated total energy at -3.18 eV/atom. The value obtained for the raw formation energy is 1.562 eV/atom. The density of states at the Fermi level comes out at 1.024 states/eV/atom.


16.
A geometry-optimized Tc2TeBr structure. Source: Alexandria via LeMat-Bulk, functional PBEsol.

The structure belongs to space group P2/m (No. 10); the cell edges are 4.4126, 3.0970 and 5.4198 Å and the angles 90.00°, 113.70° and 90.00°. The inequivalent atoms are Tc at (0.0000, 0.0000, 0.0000), Tc at (0.0000, 0.5000, 0.5000), Te at (0.5000, 0.0000, 0.5000) and Br at (0.5000, 0.5000, 0.0000).

The calculation puts the calculated total energy at -6.37 eV/atom. The value obtained for the raw formation energy is 0.615 eV/atom. As for the relative energy among the computed polymorphs: 0.0 meV per atom. The density of states at the Fermi level comes out at 0.799 states/eV/atom.


17.
A geometry-optimized TcTeBr2 structure. Source: Alexandria via LeMat-Bulk, functional PBEsol.

The structure belongs to space group Imm2 (No. 44); the cell edges are 3.2087, 4.8690 and 11.8736 Å and the angles 90.00°, 90.00° and 90.00°. The inequivalent atoms are Tc at (0.0000, 0.0000, 0.0000), Te at (0.0000, 0.5000, 0.6696), Br at (0.0000, 0.0000, 0.4989) and Br at (0.0000, 0.5000, 0.3161).

The calculation puts the calculated total energy at -4.42 eV/atom. The value obtained for the raw formation energy is 0.218 eV/atom. As for the relative energy among the computed polymorphs: 91.0 meV per atom. The density of states at the Fermi level comes out at 0.700 states/eV/atom.


18.
A geometry-optimized TcTe2Br structure. Source: Alexandria via LeMat-Bulk, functional PBEsol.

The structure belongs to space group Imm2 (No. 44); the cell edges are 3.3095, 4.8113 and 12.4401 Å and the angles 90.00°, 90.00° and 90.00°. The inequivalent atoms are Tc at (0.0000, 0.0000, 0.0000), Te at (0.0000, 0.0000, 0.5198), Te at (0.0000, 0.5000, 0.6652) and Br at (0.0000, 0.5000, 0.3314).

The calculation puts the calculated total energy at -4.88 eV/atom. The value obtained for the raw formation energy is 0.169 eV/atom. As for the relative energy among the computed polymorphs: 0.0 meV per atom. The density of states at the Fermi level comes out at 0.939 states/eV/atom.


19.
A geometry-optimized TcTe2Br structure. Source: Alexandria via LeMat-Bulk, functional PBEsol.

The structure belongs to space group P4mm (No. 99); the cell edges are 3.5291, 3.5291 and 7.5251 Å and the angles 90.00°, 90.00° and 90.00°. The inequivalent atoms are Tc at (0.0000, 0.0000, 0.0000), Te at (0.0000, 0.0000, 0.3809), Te at (0.5000, 0.5000, 0.1346) and Br at (0.5000, 0.5000, 0.7295).

The calculation puts the calculated total energy at -4.64 eV/atom. The value obtained for the raw formation energy is 0.405 eV/atom. As for the relative energy among the computed polymorphs: 236.0 meV per atom. The density of states at the Fermi level comes out at 0.940 states/eV/atom.


20.
A geometry-optimized Tc2TeBr structure. Source: Alexandria via LeMat-Bulk, functional PBEsol.

The structure belongs to space group Pmmm (No. 47); the cell edges are 3.0479, 4.2483 and 5.5624 Å and the angles 90.00°, 90.00° and 90.00°. The inequivalent atoms are Tc at (0.0000, 0.0000, 0.0000), Tc at (0.5000, 0.0000, 0.5000), Te at (0.0000, 0.5000, 0.5000) and Br at (0.5000, 0.5000, 0.0000).

The calculation puts the calculated total energy at -5.99 eV/atom. The value obtained for the raw formation energy is 0.989 eV/atom. As for the relative energy among the computed polymorphs: 374.1 meV per atom. The density of states at the Fermi level comes out at 1.170 states/eV/atom.